VASP calculation (PBE+U) on a relaxed structure of PmTlFe2O4.

Cell lengths 4.0199, 4.0199, 7.5926 Å; angles 90.00, 90.00, 90.00 degrees
Fractional coordinates of all 8 atoms:
Pm: 0.0000 0.0000 0.0000
Tl: 0.0000 0.0000 0.5000
Fe: 0.5000 0.5000 0.2270
Fe: 0.5000 0.5000 0.7730
O: 0.0000 0.5000 0.1941
O: 0.0000 0.5000 0.8059
O: 0.5000 0.0000 0.1941
O: 0.5000 0.0000 0.8059

Values from the calculation:
* volume: 123 Å³/cell
* space-group type: P4/mmm (123)
* density of states at the Fermi level: 0.162 states/eV/cell
* uncorrected energy: -6.5495 eV per atom